First-principles (PBE-GGA) data for a geometry-optimized HgP3C structure, as listed in the Alexandria database.

```
5
Lattice="4.960 0.000 0.000 0.000 4.960 0.000 0.000 0.000 4.960" Properties=species:S:1:pos:R:3 pbc="T T T"
P 0.000 2.480 0.000
P 0.000 0.000 2.480
P 2.480 0.000 0.000
C 2.480 2.480 2.480
Hg 0.000 0.000 0.000
```

Output
Space-group type: Pm-3m, No. 221
Crystal system: cubic
ΔH_f (0 K), meV per atom: 2795.6



First-principles (PBE-GGA) data for a geometry-optimized Hg2PC structure, as listed in the Alexandria database.

```
4
Lattice="-1.805 -4.269 0.317 -2.347 -1.253 3.809 -4.603 -0.596 -0.199" Properties=species:S:1:pos:R:3 pbc="T T T"
P -4.377 -3.059 1.964
C 0.000 0.000 0.000
Hg -2.189 -1.529 0.982
Hg -6.566 -4.588 2.946
```

Output
Space-group type: Fm-3m, No. 225
Crystal system: cubic
ΔH_f (0 K), meV per atom: 1773.9



First-principles (PBE-GGA) data for a geometry-optimized ScHgP2C structure, as listed in the Alexandria database.

```
5
Lattice="-2.703 -0.587 3.182 3.427 -1.691 2.599 0.834 3.880 1.424" Properties=species:S:1:pos:R:3 pbc="T T T"
Sc 0.779 0.801 3.603
P 0.417 1.940 0.712
P -1.351 -0.294 1.591
C 0.000 0.000 0.000
Hg 1.714 -0.845 1.299
```

Output
Space-group type: P4/mmm, No. 123
Crystal system: tetragonal
ΔH_f (0 K), meV per atom: 750.6



First-principles (PBE-GGA) data for a geometry-optimized Hg2PCSe structure, as listed in the Alexandria database.

```
5
Lattice="5.102 0.000 0.000 0.000 4.991 0.000 0.000 0.000 5.102" Properties=species:S:1:pos:R:3 pbc="T T T"
P 0.000 0.000 0.000
C 2.551 2.495 2.551
Hg 0.000 0.000 2.551
Hg 2.551 0.000 0.000
Se 0.000 2.495 0.000
```

Output
Space-group type: P4/mmm, No. 123
Crystal system: tetragonal
ΔE_f (raw), eV per atom: 1.615



First-principles (PBE-GGA) data for a geometry-optimized Th6HgP2C3 structure, as listed in the Alexandria database.

```
12
Lattice="-2.976 -0.447 -2.504 -1.747 -7.351 3.389 -3.113 6.526 5.594" Properties=species:S:1:pos:R:3 pbc="T T T"
Th -4.574 -2.829 5.942
Th -4.024 -2.517 2.172
Th -3.261 1.557 0.538
Th -6.463 3.798 3.943
Th -1.372 -5.070 2.536
Th -3.812 1.246 4.308
Hg -1.488 -0.224 -1.252
P -5.786 -0.934 3.983
P -2.049 -0.338 2.496
C -2.361 -3.899 0.443
C -4.814 2.683 2.182
C -3.022 -3.955 4.297
```

Output
Space-group type: C2/m, No. 12
Crystal system: monoclinic
ΔH_f (0 K), meV per atom: -640.4



First-principles (PBE-GGA) data for a geometry-optimized Pa2HgC structure, as listed in the Alexandria database.

```
4
Lattice="3.363 0.000 0.000 1.681 2.912 0.000 1.681 0.971 8.577" Properties=species:S:1:pos:R:3 pbc="T T T"
C 0.000 0.000 0.000
Pa 5.044 2.912 7.092
Pa 1.681 0.971 1.486
Hg 3.363 1.942 4.289
```

Output
Space-group type: R-3m, No. 166
Crystal system: trigonal
ΔH_f (0 K), meV per atom: -244.4



First-principles (PBE-GGA) data for a geometry-optimized Pa2HgC structure, as listed in the Alexandria database.

```
4
Lattice="3.388 0.000 0.000 1.694 2.934 0.000 1.694 0.978 8.395" Properties=species:S:1:pos:R:3 pbc="T T T"
Pa 1.694 0.978 6.906
Pa 1.694 0.978 1.469
Hg 3.388 1.956 4.192
C 3.388 1.956 0.026
```

Output
Space-group type: R3m, No. 160
Crystal system: trigonal
ΔH_f (0 K), meV per atom: -266.2



First-principles (PBE-GGA) data for a geometry-optimized Pa3HgC structure, as listed in the Alexandria database.

```
5
Lattice="-1.371 -2.953 -3.529 3.464 -3.086 1.235 -3.028 -2.193 3.012" Properties=species:S:1:pos:R:3 pbc="T T T"
C 0.000 0.000 0.000
Pa 1.732 -1.543 0.618
Pa -1.514 -1.097 1.506
Pa -0.686 -1.476 -1.764
Hg -0.467 -4.116 0.359
```

Output
Space-group type: Pm-3m, No. 221
Crystal system: cubic
ΔH_f (0 K), meV per atom: -133.0



First-principles (PBE-GGA) data for a geometry-optimized Pa2HgC structure, as listed in the Alexandria database.

```
4
Lattice="-2.486 0.981 1.564 -1.790 -0.634 -2.446 -1.161 -7.320 2.746" Properties=species:S:1:pos:R:3 pbc="T T T"
C -2.138 0.174 -0.441
Pa -0.949 -5.984 2.245
Pa -0.212 -1.337 0.501
Hg -2.718 -3.487 0.932
```

Output
Space-group type: P4/mmm, No. 123
Crystal system: tetragonal
ΔH_f (0 K), meV per atom: 33.4



First-principles (PBE-GGA) data for a geometry-optimized PmPaHgC structure, as listed in the Alexandria database.

```
4
Lattice="-2.307 -2.265 1.620 0.279 0.025 -3.606 7.163 -4.041 0.527" Properties=species:S:1:pos:R:3 pbc="T T T"
Pm 3.767 -3.934 0.635
Pa 0.340 -0.315 -3.233
Hg 0.448 -3.620 0.379
C 5.788 -4.295 -1.025
```

Output
Space-group type: R3m, No. 160
Crystal system: trigonal
ΔH_f (0 K), meV per atom: -299.9



First-principles (PBE-GGA) data for a geometry-optimized ScPaHgC structure, as listed in the Alexandria database.

```
4
Lattice="3.391 -0.001 0.000 -1.696 2.938 0.000 -1.696 -0.978 7.882" Properties=species:S:1:pos:R:3 pbc="T T T"
Sc 0.321 -0.215 5.502
Pa -1.376 2.723 0.265
Hg 2.016 0.764 3.036
C -1.376 0.765 6.722
```

Output
Space-group type: R3m, No. 160
Crystal system: trigonal
ΔH_f (0 K), meV per atom: -391.5



First-principles (PBE-GGA) data for a geometry-optimized ThPaHgC structure, as listed in the Alexandria database.

```
4
Lattice="-1.614 -0.443 3.183 1.452 -2.823 -1.688 7.677 2.616 2.229" Properties=species:S:1:pos:R:3 pbc="T T T"
Th 4.673 1.130 2.912
Pa 1.552 -2.584 -1.220
Hg 1.740 -0.564 3.220
C 7.075 0.605 2.027
```

Output
Space-group type: R3m, No. 160
Crystal system: trigonal
ΔH_f (0 K), meV per atom: -259.2



Number 1: magnetization 0.00 μB per formula unit. Number 2: magnetization 0.00 μB per formula unit. Number 3: magnetization 0.00 μB per formula unit. Number 4: magnetization 1.78 μB per formula unit. Number 5: magnetization 0.00 μB per formula unit. Number 6: magnetization 0.00 μB per formula unit. Number 7: magnetization 0.00 μB per formula unit. Number 8: magnetization 0.00 μB per formula unit. Number 9: magnetization 0.00 μB per formula unit. Number 10: magnetization 0.00 μB per formula unit. Number 11: magnetization 0.00 μB per formula unit. Number 12: magnetization 0.00 μB per formula unit.